1.
Below is an optimized crystal structure of Pr13Dy3, with properties calculated at the PBE level.

As for the size of the total moment: 0.0 μB per formula unit. The uncorrected energy comes out at -151.46 eV/cell. Its density of states at the Fermi level is 1.52 states/eV/atom.

The structure belongs to space group Amm2 (No. 38); the cell edges are 10.431, 10.398 and 10.403 Å and the angles 90.00°, 90.00° and 90.00°. Symmetry generates all atoms from Pr at (0.000, 0.000, 0.000), Pr at (0.000, 0.000, 0.495), Pr at (0.000, 0.248, 0.247), Pr at (0.251, 0.000, 0.749), Pr at (0.252, 0.249, 0.997), Pr at (0.500, 0.000, 0.495), Pr at (0.500, 0.247, 0.247), Dy at (0.252, 0.000, 0.246) and Dy at (0.500, 0.000, 0.000).


2.
Below is an optimized crystal structure of PrDy4, with properties calculated at the PBE level.

As for the size of the total moment: 0.0 μB per formula unit. The uncorrected energy comes out at -19.77 eV/cell. Its density of states at the Fermi level is 1.66 states/eV/atom.

The structure belongs to space group Pm-3m (No. 221); the cell edges are 5.656, 5.656 and 5.656 Å and the angles 90.00°, 90.00° and 90.00°. Symmetry generates all atoms from Pr at (0.000, 0.000, 0.000), Dy at (0.000, 0.000, 0.500) and Dy at (0.500, 0.500, 0.500).


3.
Below is an optimized crystal structure of Pr7Dy5, with properties calculated at the PBE level.

As for the size of the total moment: 0.0 μB per formula unit. The uncorrected energy comes out at -112.70 eV/cell. Its density of states at the Fermi level is 1.34 states/eV/atom.

The structure belongs to space group C2/m (No. 12); the cell edges are 18.965, 3.667 and 13.388 Å and the angles 90.00°, 118.13° and 90.00°. Symmetry generates all atoms from Pr at (0.000, 0.000, 0.000), Pr at (0.029, 0.500, 0.250), Pr at (0.140, 0.000, 0.752), Pr at (0.167, 0.000, 0.504), Dy at (0.000, 0.500, 0.500), Dy at (0.168, 0.500, 0.003) and Dy at (0.194, 0.000, 0.247).


4.
Below is an optimized crystal structure of Pr3Dy13, with properties calculated at the PBE level.

As for the size of the total moment: 0.0 μB per formula unit. The uncorrected energy comes out at -147.71 eV/cell. Its density of states at the Fermi level is 1.77 states/eV/atom.

The structure belongs to space group Amm2 (No. 38); the cell edges are 7.297, 11.401 and 12.600 Å and the angles 90.00°, 90.00° and 90.00°. Symmetry generates all atoms from Pr at (0.000, 0.000, 0.000), Pr at (0.252, 0.000, 0.747), Dy at (0.000, 0.000, 0.496), Dy at (0.000, 0.249, 0.165), Dy at (0.250, 0.000, 0.250), Dy at (0.251, 0.247, 0.415), Dy at (0.500, 0.000, 0.000), Dy at (0.500, 0.000, 0.496) and Dy at (0.500, 0.246, 0.165).


5.
Below is an optimized crystal structure of Pr6Dy7, with properties calculated at the PBE level.

As for the size of the total moment: 6.0 μB per formula unit. The uncorrected energy comes out at -172.89 eV/cell. Its density of states at the Fermi level is 2.35 states/eV/atom.

The structure belongs to space group R-3m (No. 166, hexagonal axes); the cell edges are 6.6963, 6.6963 and 35.0382 Å and the angles 90.00°, 90.00° and 120.00°. Symmetry generates all atoms from Pr at (0.0000, 0.0000, 0.0486), Pr at (0.0000, 0.0000, 0.1523), Pr at (0.0000, 0.0000, 0.3333), Dy at (0.0000, 0.0000, 0.5000) and Dy at (0.0021, 0.5010, 0.9138).


6.
Below is an optimized crystal structure of Pr6Dy, with properties calculated at the PBE level.

As for the size of the total moment: 0.0 μB per formula unit. The uncorrected energy comes out at -49.48 eV/cell. Its density of states at the Fermi level is 0.83 states/eV/atom.

The structure belongs to space group Im-3m (No. 229); the cell edges are 8.287, 8.287 and 8.287 Å and the angles 90.00°, 90.00° and 90.00°. Symmetry generates all atoms from Pr at (0.000, 0.250, 0.500) and Dy at (0.000, 0.000, 0.000).


7.
Below is an optimized crystal structure of PrDy4, with properties calculated at the PBE level.

As for the size of the total moment: 0.0 μB per formula unit. The uncorrected energy comes out at -45.99 eV/cell. Its density of states at the Fermi level is 1.60 states/eV/atom.

The structure belongs to space group Cmmm (No. 65); the cell edges are 5.457, 16.803 and 3.539 Å and the angles 90.00°, 90.00° and 90.00°. Symmetry generates all atoms from Pr at (0.000, 0.000, 0.000), Dy at (0.000, 0.200, 0.000) and Dy at (0.000, 0.389, 0.500).


8.
Below is an optimized crystal structure of Pr7Dy, with properties calculated at the PBE level.

As for the size of the total moment: 0.0 μB per formula unit. The uncorrected energy comes out at -152.00 eV/cell. Its density of states at the Fermi level is 1.26 states/eV/atom.

The structure belongs to space group Fm-3m (No. 225); the cell edges are 10.442, 10.442 and 10.442 Å and the angles 90.00°, 90.00° and 90.00°. Symmetry generates all atoms from Pr at (0.000, 0.000, 0.000), Pr at (0.000, 0.250, 0.250) and Dy at (0.000, 0.000, 0.500).